Compound: MgIn2Re
Source: Alexandria via LeMat-Bulk
Functional: PBE
Structure: optimized geometry

```
4
Lattice="2.982 0.000 0.000 0.000 2.982 0.000 0.000 0.000 9.212" Properties=species:S:1:pos:R:3 pbc="T T T"
Mg 0.000 0.000 0.000
In 0.000 0.000 3.946
In 1.491 1.491 6.702
Re 1.491 1.491 1.897
```

The value obtained for the energy of formation from the pure elements is 0.423 eV per atom. As for the magnetization: 0.00 μB/atom. For the volume, the calculation gives 20.48 Å³ per atom. The density of states at the Fermi level comes out at 4.13 states/eV/f.u.